A geometry-optimized KZrB structure, computed with GGA-PBE.

Geometry as extended XYZ:
```
6
Lattice="-11.121 2.299 4.030 0.895 -0.565 3.400 0.493 4.261 -1.281" Properties=species:S:1:pos:R:3 pbc="T T T"
K -10.112 3.410 6.259
K -3.080 4.373 0.855
B -7.227 3.374 3.624
B -5.971 4.413 3.468
Zr -7.727 5.485 2.244
Zr -5.470 2.301 4.849
```

Output
E: -5.362 eV per atom
symmetry: P1
volume: 88.03 Å³/f.u.
energy above the lowest structure with this stoichiometry: 0.58 eV/f.u.
mass density: 2.7 g/cm3

A geometry-optimized KZr2B structure, computed with GGA-PBE.

Geometry as extended XYZ:
```
8
Lattice="-1.679 7.120 2.726 -7.517 -1.081 -1.805 -5.116 1.790 3.352" Properties=species:S:1:pos:R:3 pbc="T T T"
K 0.000 0.000 0.000
K -5.696 5.965 3.269
B -4.598 3.019 0.460
B -8.616 1.864 1.004
Zr -3.071 3.928 1.997
Zr -6.384 1.496 0.370
Zr -8.166 3.480 2.648
Zr -11.003 6.753 3.531
```

Output
E: -5.418 eV per atom
symmetry: I-42d
volume: 97.05 Å³/f.u.
mass density: 4.0 g/cm3

A geometry-optimized KZrB structure, computed with GGA-PBE.

Geometry as extended XYZ:
```
6
Lattice="5.371 0.000 0.000 0.000 3.950 0.000 0.000 0.000 7.611" Properties=species:S:1:pos:R:3 pbc="T T T"
K 2.685 0.000 6.594
K 0.000 1.975 5.088
B 1.873 0.000 3.458
B 3.498 0.000 3.458
Zr 2.685 1.975 2.383
Zr 0.000 0.000 2.120
```

Output
E: -5.057 eV per atom
symmetry: Pmm2
volume: 80.72 Å³/f.u.
energy above the lowest structure with this stoichiometry: 1.50 eV/f.u.
mass density: 2.9 g/cm3

A geometry-optimized KZrB structure, computed with GGA-PBE.

Geometry as extended XYZ:
```
12
Lattice="-4.080 -8.410 -5.890 3.890 0.837 -3.890 5.208 -2.553 4.659" Properties=species:S:1:pos:R:3 pbc="T T T"
K -0.378 -8.367 -2.178
K -1.036 -6.672 -6.452
K 2.767 -5.828 1.513
K 2.108 -4.133 -2.761
B 3.129 -1.343 -2.352
B 1.944 -1.598 -1.167
B 3.788 -3.038 1.922
B 6.493 -2.456 -0.783
Zr -0.407 -0.966 -0.615
Zr 4.142 -1.824 -0.231
Zr 1.718 -2.004 1.287
Zr 6.267 -2.862 1.671
```

Output
E: -5.166 eV per atom
symmetry: Cm
volume: 107.90 Å³/f.u.
energy above the lowest structure with this stoichiometry: 1.17 eV/f.u.
mass density: 2.2 g/cm3

A geometry-optimized KZrB structure, computed with GGA-PBE.

Geometry as extended XYZ:
```
6
Lattice="-0.978 -13.202 -3.774 -1.877 -1.108 -4.001 3.734 2.404 -1.016" Properties=species:S:1:pos:R:3 pbc="T T T"
K 1.914 0.984 -2.057
K 1.565 -6.768 -4.190
B 1.935 -3.449 -5.284
B 0.650 -4.346 -1.813
Zr -0.296 -3.991 -4.161
Zr 2.134 -2.704 -2.929
```

Output
E: -5.167 eV per atom
symmetry: Cm
volume: 106.67 Å³/f.u.
energy above the lowest structure with this stoichiometry: 1.17 eV/f.u.
mass density: 2.2 g/cm3

A geometry-optimized KZrB structure, computed with GGA-PBE.

Geometry as extended XYZ:
```
12
Lattice="-5.902 1.459 -0.955 -0.915 -2.158 2.358 1.066 11.432 10.877" Properties=species:S:1:pos:R:3 pbc="T T T"
K -4.206 5.356 4.442
K -4.133 9.994 11.059
K -1.545 5.377 7.838
K -1.618 0.739 1.221
B 0.568 8.035 8.747
B -3.369 1.969 4.010
B -6.320 2.698 3.533
B -2.383 8.765 8.270
Zr -1.384 3.239 3.599
Zr -1.312 7.877 10.216
Zr -4.367 7.494 8.680
Zr -4.439 2.856 2.064
```

Output
E: -5.035 eV per atom
symmetry: Cmcm
volume: 80.89 Å³/f.u.
energy above the lowest structure with this stoichiometry: 1.56 eV/f.u.
mass density: 2.9 g/cm3

> The highest E belongs to which entry?

number 6